{
  "formula": "AlSiPt",
  "functional": "meta-GGA SCAN",
  "state": "PBEsol geometry",
  "lattice_angstrom": [[-2.472, 0.126, -3.261], [0.925, -2.157, -3.355], [-2.233, -3.282, -1.004]],
  "species": ["Pt", "Al", "Si"],
  "fractional_positions": [[0.250, 0.250, 0.250], [0.500, 0.500, 0.500], [0.000, 0.000, 0.000]],
  "raw_formation_energy_ev_per_atom": -0.946,
  "total_magnetization_mub_per_fu": 0.0
}

{
  "formula": "Ni2AsPt",
  "functional": "meta-GGA SCAN",
  "state": "PBEsol geometry",
  "lattice_angstrom": [[2.766, 0.000, 0.000], [-1.383, 3.815, 0.052], [0.000, -1.074, 4.891]],
  "species": ["Ni", "Ni", "As", "Pt"],
  "fractional_positions": [[0.757, 0.514, 0.785], [0.243, 0.486, 0.215], [0.500, 0.000, 0.000], [0.000, 0.000, 0.500]],
  "formation_energy_ev_per_fu": -0.234,
  "total_magnetization_mub_per_fu": 0.0
}

{
  "formula": "CaHg3C",
  "functional": "meta-GGA SCAN",
  "state": "PBEsol geometry",
  "lattice_angstrom": [[-3.177, 4.697, -1.713], [-2.252, 0.467, 5.459], [4.464, 3.579, 1.535]],
  "species": ["Hg", "Hg", "Hg", "C", "Ca"],
  "fractional_positions": [[0.500, 0.000, 0.000], [0.000, 0.000, 0.500], [0.000, 0.500, 0.000], [0.500, 0.500, 0.500], [0.000, 0.000, 0.000]],
  "formation_energy_ev_per_fu": 7.281,
  "total_magnetization_mub_per_fu": 3.1
}

{
  "formula": "MnBiSe3",
  "functional": "meta-GGA SCAN",
  "state": "PBEsol geometry",
  "lattice_angstrom": [[-1.330, 3.934, 2.412], [-3.405, 0.858, -3.277], [-3.115, -2.617, 2.551]],
  "species": ["Mn", "Bi", "Se", "Se", "Se"],
  "fractional_positions": [[0.000, 0.000, 0.000], [0.500, 0.500, 0.500], [0.500, 0.000, 0.000], [0.000, 0.500, 0.000], [0.000, 0.000, 0.500]],
  "raw_formation_energy_ev_per_atom": -0.093,
  "total_magnetization_mub_per_fu": 4.1
}

{
  "formula": "SrTa4Cd",
  "functional": "meta-GGA SCAN",
  "state": "PBEsol geometry",
  "lattice_angstrom": [[-2.560, 2.998, 4.045], [-5.364, 1.639, -0.666], [-4.082, -2.360, 3.110]],
  "species": ["Ta", "Ta", "Ta", "Ta", "Sr", "Cd"],
  "fractional_positions": [[0.372, 0.883, 0.372], [0.372, 0.372, 0.883], [0.883, 0.372, 0.372], [0.372, 0.372, 0.372], [0.000, 0.000, 0.000], [0.750, 0.750, 0.750]],
  "formation_energy_ev_per_fu": 3.942,
  "total_magnetization_mub_per_fu": 0.0
}

{
  "formula": "Zr2FeW",
  "functional": "meta-GGA SCAN",
  "state": "PBEsol geometry",
  "lattice_angstrom": [[2.892, 0.000, 0.014], [0.000, 4.346, 0.000], [-0.856, 0.000, 5.311]],
  "species": ["Fe", "W", "Zr", "Zr"],
  "fractional_positions": [[0.500, 0.500, 0.000], [0.000, 0.500, 0.500], [0.257, 0.000, 0.242], [0.743, 0.000, 0.758]],
  "formation_energy_ev_per_fu": 1.235,
  "de_polymorph_mev_per_atom": 192,
  "total_magnetization_mub_per_fu": 1.2
}